A relaxed Mn3SbPd12 crystal, computed with GGA-PBE.

Cell lengths 3.965, 3.965, 15.765 Å; angles 90.00, 90.00, 90.00 degrees
Space group P4/mmm (No. 123)
Asymmetric unit:
Mn: 0.000 0.000 0.000 (multiplicity 1)
Mn: 0.000 0.000 0.244 (multiplicity 2)
Sb: 0.000 0.000 0.500 (multiplicity 1)
Pd: 0.000 0.500 0.123 (multiplicity 4)
Pd: 0.000 0.500 0.370 (multiplicity 4)
Pd: 0.500 0.500 0.000 (multiplicity 1)
Pd: 0.500 0.500 0.246 (multiplicity 2)
Pd: 0.500 0.500 0.500 (multiplicity 1)

## Properties
theoretical density: 10.5 g/cm3
energy relative to the elements, uncorrected: -0.267 eV/atom
uncorrected energy: -6.14 eV/atom
total magnetization: 13.935 μB per formula unit
calculated volume: 247.9 Å³ per cell


A relaxed AcPr5Y3 crystal, computed with GGA-PBE.

Cell lengths 12.953, 11.753, 10.243 Å; angles 90.00, 106.12, 90.00 degrees
Space group C2/m (No. 12)
Asymmetric unit:
Ac: 0.250 0.000 0.247 (multiplicity 4)
Pr: 0.000 0.245 0.500 (multiplicity 4)
Pr: 0.109 0.248 0.918 (multiplicity 8)
Pr: 0.241 0.000 0.586 (multiplicity 4)
Pr: 0.243 0.500 0.088 (multiplicity 4)
Y: 0.000 0.000 0.000 (multiplicity 2)
Y: 0.000 0.500 0.500 (multiplicity 2)
Y: 0.002 0.000 0.670 (multiplicity 4)
Y: 0.015 0.500 0.176 (multiplicity 4)

## Properties
theoretical density: 5.3 g/cm3
uncorrected energy: -4.78 eV/atom
total magnetization: 0.000 μB per formula unit
offset from the most stable computed form: 316 kJ/mol of formula units
ΔH_f (0 K): 47.4 kJ per mole of atoms
calculated volume: 1498.0 Å³ per cell


A relaxed Pm3ZnCd2 crystal, computed with GGA-PBE.

Cell lengths 3.732, 3.732, 11.569 Å; angles 90.00, 90.00, 90.00 degrees
Space group P4/mmm (No. 123)
Asymmetric unit:
Pm: 0.000 0.000 0.000 (multiplicity 1)
Pm: 0.000 0.000 0.350 (multiplicity 2)
Zn: 0.500 0.500 0.500 (multiplicity 1)
Cd: 0.500 0.500 0.174 (multiplicity 2)

## Properties
theoretical density: 7.5 g/cm3
uncorrected energy: -3.21 eV/atom
total magnetization: 0.345 μB per formula unit
offset from the most stable computed form: 0 kJ/mol of formula units
ΔH_f (0 K): -30.8 kJ per mole of atoms
calculated volume: 161.1 Å³ per cell


A relaxed LaSiSb crystal, computed with GGA-PBE.

Cell lengths 7.239, 7.239, 7.239 Å; angles 90.00, 90.00, 90.00 degrees
Space group F-43m (No. 216)
Asymmetric unit:
La: 0.000 0.000 0.000 (multiplicity 4)
Si: 0.000 0.000 0.500 (multiplicity 4)
Sb: 0.250 0.250 0.750 (multiplicity 4)

## Properties
theoretical density: 5.1 g/cm3
energy relative to the elements, uncorrected: -0.058 eV/atom
uncorrected energy: -4.88 eV/atom
total magnetization: 0.000 μB per formula unit
offset from the most stable computed form: 198 kJ/mol of formula units
calculated volume: 379.4 Å³ per cell


A relaxed CoSbP2 crystal, computed with GGA-PBE.

Cell lengths 7.214, 3.556, 5.577 Å; angles 90.00, 101.87, 90.00 degrees
Space group Cm (No. 8)
Asymmetric unit:
Co: 0.000 0.000 0.000 (multiplicity 2)
Sb: 0.222 0.500 0.314 (multiplicity 2)
P: 0.295 0.000 0.960 (multiplicity 2)
P: 0.460 0.000 0.688 (multiplicity 2)

## Properties
theoretical density: 5.8 g/cm3
energy relative to the elements, uncorrected: 0.014 eV/atom
uncorrected energy: -5.50 eV/atom
total magnetization: 0.000 μB per formula unit
calculated volume: 140.0 Å³ per cell


A relaxed HoICl crystal, computed with GGA-PBE.

Cell lengths 3.937, 6.718, 8.334 Å; angles 106.15, 103.47, 90.04 degrees
Space group P-1 (No. 2)
Asymmetric unit:
Ho: 0.249 0.262 0.498 (multiplicity 2)
I: 0.384 0.681 0.772 (multiplicity 2)
Cl: 0.155 0.851 0.307 (multiplicity 2)

## Properties
theoretical density: 5.3 g/cm3
energy relative to the elements, uncorrected: -1.534 eV/atom
uncorrected energy: -4.19 eV/atom
total magnetization: 0.000 μB per formula unit
offset from the most stable computed form: 0 kJ/mol of formula units
calculated volume: 205.4 Å³ per cell